## Er2HfTl3Te6 (GGA-PBE)

Data for crystalline Er2HfTl3Te6 at its relaxed geometry.

Calculated values
- E_form (uncorrected) (meV per atom) = -854

Lattice parameters (Å, degrees): 7.4648 12.9158 8.6332 90.00 106.73 90.00
Closest atoms and distances in Å follow each position.
Space group C2/m (No. 12)
Symmetry-distinct sites (fractional):
Er  0.0000  0.1658  0.0000  6 Te 3.07-3.08
Hf  0.0000  0.5000  0.0000  6 Te 2.94-2.96
Tl  0.0000  0.0000  0.5000  6 Te 3.43-3.52
Tl  0.0000  0.3280  0.5000  6 Te 3.43-3.49
Te  0.2291  0.3400  0.2080  1 Hf 2.94, 2 Er 3.07
Te  0.2486  0.5000  0.7878  1 Hf 2.96, 2 Er 3.08